Record 1
Material: CrHIr2W
Method: DFT, PBE
State: relaxed

abc: 4.450 4.528 4.450
angles: 90.00 90.00 90.00
Atoms (fractional coordinates):
Cr  0.000  0.000  0.000
Ir  0.000  0.000  0.500
Ir  0.500  0.000  0.000
W  0.000  0.500  0.000
H  0.500  0.500  0.500

## Properties
excess energy over the best structure of this formula in the dataset: 2137 meV/atom
magnetic moment: 0.05 Bohr magnetons per cell

Record 2
Material: Tc2IrBr
Method: DFT, PBE
State: relaxed

abc: 2.864 2.864 8.141
angles: 90.00 90.00 90.00
Atoms (fractional coordinates):
Ir  0.500  0.500  0.798
Tc  0.000  0.000  0.013
Tc  0.500  0.500  0.236
Br  0.000  0.000  0.454

## Properties
raw formation energy: 0.507 eV/atom
excess energy over the best structure of this formula in the dataset: 24 meV/atom
magnetic moment: 0.00 Bohr magnetons per cell